! Na2Sb2Au, relaxed, DFT PBE; values from VASP
&SYSTEM
  ibrav = 0, nat = 10, ntyp = 3
/
ATOMIC_SPECIES
Na 22.99 Na.upf
Sb 121.76 Sb.upf
Au 196.97 Au.upf
CELL_PARAMETERS angstrom
5.7056 -2.3570 0.0000
5.7056 2.3570 0.0000
-5.2780 0.0000 10.0346
ATOMIC_POSITIONS crystal
Na 0.9999 0.9999 0.1797
Na 0.0001 0.0001 0.8203
Na 0.1884 0.1884 0.6122
Na 0.8116 0.8116 0.3878
Sb 0.3576 0.3576 0.9486
Sb 0.4789 0.4789 0.6139
Sb 0.5211 0.5211 0.3861
Sb 0.6424 0.6424 0.0514
Au 0.2778 0.2778 0.1655
Au 0.7222 0.7222 0.8345
! Symmetry: No. 12
! Polymorph energy (0 for the lowest one): 0.0000 eV/atom
! E_form (uncorrected): -0.348 eV per atom

=====

! Nb3InH, relaxed, DFT PBE; values from VASP
&SYSTEM
  ibrav = 0, nat = 10, ntyp = 3
/
ATOMIC_SPECIES
Nb 92.91 Nb.upf
In 114.82 In.upf
H 1.01 H.upf
CELL_PARAMETERS angstrom
8.0654 -1.6345 0.0000
8.0654 1.6345 0.0000
-3.9793 0.0000 7.2552
ATOMIC_POSITIONS crystal
Nb 0.0165 0.0165 0.3673
Nb 0.1873 0.1873 0.3657
Nb 0.3485 0.3485 0.3515
Nb 0.6515 0.6515 0.6485
Nb 0.8127 0.8127 0.6343
Nb 0.9835 0.9835 0.6327
In 0.1616 0.1616 0.9868
In 0.8384 0.8384 0.0132
H 0.4050 0.4050 0.6321
H 0.5950 0.5950 0.3679
! Symmetry: No. 12
! Total DFT energy (no corrections): -34.6 eV per formula unit